Entry 1:
Er3SnPd4 | GGA-PBE | optimized geometry

Properties
For the electronic total energy, the calculation gives -5.68 eV per atom. The size of the total moment comes out at 0.00 μB/atom. Its symmetry is Pm (6).

Cell: 5.5170 4.4904 6.7022 Å, 90.00 90.62 90.00°
Last column: nearest neighbours and their distance in Å.
Positions (direct):
Er1 0.0000 0.0000 0.0000  7 Pd 2.82-2.93
Er2 0.2220 0.0000 0.4979  7 Pd 2.83-3.03
Er3 0.7129 0.5000 0.6377  7 Pd 2.87-3.00
Sn1 0.4957 0.5000 0.1483  7 Pd 2.81-2.97
Pd1 0.0124 0.5000 0.2786  2 Sn 2.81-2.97, 2 Pd 2.87, 5 Er 2.92-2.93
Pd2 0.2046 0.5000 0.7834  6 Er 2.87-2.98, 2 Pd 2.87, 1 Sn 2.91
Pd3 0.5086 0.0000 0.8805  5 Er 2.82-3.00, 2 Pd 2.87, 2 Sn 2.88
Pd4 0.7008 0.0000 0.3487  5 Er 2.83-3.03, 2 Sn 2.84, 2 Pd 2.87

=====

Entry 2:
Tb2ErSn3Pd3 | GGA-PBE | optimized geometry

Properties
For the electronic total energy, the calculation gives -5.53 eV per atom. The size of the total moment comes out at 0.00 μB/atom. Its symmetry is Amm2 (38).

Cell: 4.0111 7.5191 7.5191 Å, 119.78 90.00 90.00°
Last column: nearest neighbours and their distance in Å.
Positions (direct):
Tb1 0.0000 0.2041 0.7959  5 Pd 3.04-3.08, 6 Sn 3.22-3.37
Tb2 0.0000 0.7959 0.2041  5 Pd 3.04-3.08, 6 Sn 3.22-3.37
Er1 0.0000 0.3881 0.3881  5 Pd 3.02-3.06, 6 Sn 3.22-3.35
Sn1 0.5000 0.0540 0.0540  4 Pd 2.80-2.82
Sn2 0.5000 0.5378 0.7947  4 Pd 2.78-2.86
Sn3 0.5000 0.7947 0.5378  4 Pd 2.78-2.86
Pd1 0.0000 0.7942 0.7942  6 Sn 2.78-2.80, 1 Er 3.06, 2 Tb 3.08
Pd2 0.5000 0.1312 0.4617  3 Sn 2.82-2.86, 2 Er 3.02, 4 Tb 3.04-3.05
Pd3 0.5000 0.4617 0.1312  3 Sn 2.82-2.86, 2 Er 3.02, 4 Tb 3.04-3.05